An optimized crystal structure of TbCeNd4, computed with PBE-GGA.

It has space group C2/m (No. 12), with a = 6.2958 Å, b = 10.9243 Å, c = 6.2926 Å, α = 90.00°, β = 109.40° and γ = 90.00°. The asymmetric unit holds Tb at (0.0000, 0.0000, 0.0000), Ce at (0.0000, 0.5000, 0.5000), Nd at (0.0000, 0.1656, 0.5000) and Nd at (0.0000, 0.3365, 0.0000).

As for the calculated formation energy: 0.0624 eV/atom. The value obtained for the total energy is -4.877 eV per atom. Its density of states at the Fermi level is 2.202 states/eV per atom. The calculation puts the total magnetization at 2.26 Bohr magnetons per cell.